# MgFe3, optimized geometry, DFT PBE
data_MgFe3
_chemical_formula_sum 'Mg1 Fe3'
_space_group_name_H-M_alt 'P 1'
_space_group_IT_number 1
_cell_length_a 2.528
_cell_length_b 4.303
_cell_length_c 4.825
_cell_angle_alpha 90.00
_cell_angle_beta 90.00
_cell_angle_gamma 90.00
loop_
_space_group_symop_operation_xyz
'x,y,z'
loop_
_atom_site_label
_atom_site_type_symbol
_atom_site_fract_x
_atom_site_fract_y
_atom_site_fract_z
Mg1 Mg 0.000 0.000 0.000
Fe1 Fe 0.000 0.500 0.693
Fe2 Fe 0.500 0.000 0.497
Fe3 Fe 0.500 0.500 0.225
# - final energy (eV/cell) = -26.01
# - SG = No. 25
# - V (Å³/cell) = 52

=====

# Mg8Fe, optimized geometry, DFT PBE
data_Mg8Fe
_chemical_formula_sum 'Mg8 Fe1'
_space_group_name_H-M_alt 'P 1'
_space_group_IT_number 1
_cell_length_a 6.928
_cell_length_b 6.928
_cell_length_c 6.928
_cell_angle_alpha 95.58
_cell_angle_beta 95.58
_cell_angle_gamma 143.65
loop_
_space_group_symop_operation_xyz
'x,y,z'
loop_
_atom_site_label
_atom_site_type_symbol
_atom_site_fract_x
_atom_site_fract_y
_atom_site_fract_z
Mg1 Mg 0.000 0.324 0.324
Mg2 Mg 0.000 0.676 0.676
Mg3 Mg 0.324 0.000 0.324
Mg4 Mg 0.342 0.342 0.685
Mg5 Mg 0.342 0.658 0.000
Mg6 Mg 0.658 0.342 0.000
Mg7 Mg 0.658 0.658 0.315
Mg8 Mg 0.676 0.000 0.676
Fe1 Fe 0.000 0.000 0.000
# - final energy (eV/cell) = -20.15
# - SG = No. 139
# - V (Å³/cell) = 187

=====

# Mg4Fe, optimized geometry, DFT PBE
data_Mg4Fe
_chemical_formula_sum 'Mg4 Fe1'
_space_group_name_H-M_alt 'P 1'
_space_group_IT_number 1
_cell_length_a 4.925
_cell_length_b 4.925
_cell_length_c 4.925
_cell_angle_alpha 90.00
_cell_angle_beta 90.00
_cell_angle_gamma 90.00
loop_
_space_group_symop_operation_xyz
'x,y,z'
loop_
_atom_site_label
_atom_site_type_symbol
_atom_site_fract_x
_atom_site_fract_y
_atom_site_fract_z
Mg1 Mg 0.000 0.000 0.000
Mg2 Mg 0.000 0.500 0.500
Mg3 Mg 0.500 0.000 0.500
Mg4 Mg 0.500 0.500 0.000
Fe1 Fe 0.500 0.500 0.500
# - energy above the most stable polymorph in this dataset (eV/atom) = 0.0000
# - final energy (eV/cell) = -12.23
# - SG = No. 221
# - V (Å³/cell) = 119

=====

# Mg2Fe, optimized geometry, DFT PBE
data_Mg2Fe
_chemical_formula_sum 'Mg4 Fe2'
_space_group_name_H-M_alt 'P 1'
_space_group_IT_number 1
_cell_length_a 7.593
_cell_length_b 7.593
_cell_length_c 4.781
_cell_angle_alpha 90.00
_cell_angle_beta 90.00
_cell_angle_gamma 158.20
loop_
_space_group_symop_operation_xyz
'x,y,z'
loop_
_atom_site_label
_atom_site_type_symbol
_atom_site_fract_x
_atom_site_fract_y
_atom_site_fract_z
Mg1 Mg 0.054 0.946 0.750
Mg2 Mg 0.273 0.727 0.250
Mg3 Mg 0.727 0.273 0.750
Mg4 Mg 0.946 0.054 0.250
Fe1 Fe 0.390 0.610 0.750
Fe2 Fe 0.610 0.390 0.250
# - final energy (eV/cell) = -21.57
# - SG = No. 63
# - V (Å³/cell) = 102

=====

# MgFe3, optimized geometry, DFT PBE
data_MgFe3
_chemical_formula_sum 'Mg1 Fe3'
_space_group_name_H-M_alt 'P 1'
_space_group_IT_number 1
_cell_length_a 2.554
_cell_length_b 4.106
_cell_length_c 5.059
_cell_angle_alpha 90.00
_cell_angle_beta 101.17
_cell_angle_gamma 90.00
loop_
_space_group_symop_operation_xyz
'x,y,z'
loop_
_atom_site_label
_atom_site_type_symbol
_atom_site_fract_x
_atom_site_fract_y
_atom_site_fract_z
Mg1 Mg 0.000 0.000 0.000
Fe1 Fe 0.263 0.500 0.726
Fe2 Fe 0.500 0.000 0.500
Fe3 Fe 0.737 0.500 0.274
# - final energy (eV/cell) = -26.28
# - SG = No. 10
# - V (Å³/cell) = 52

=====

# Mg2Fe, optimized geometry, DFT PBE
data_Mg2Fe
_chemical_formula_sum 'Mg4 Fe2'
_space_group_name_H-M_alt 'P 1'
_space_group_IT_number 1
_cell_length_a 7.741
_cell_length_b 7.741
_cell_length_c 3.099
_cell_angle_alpha 90.00
_cell_angle_beta 90.00
_cell_angle_gamma 144.68
loop_
_space_group_symop_operation_xyz
'x,y,z'
loop_
_atom_site_label
_atom_site_type_symbol
_atom_site_fract_x
_atom_site_fract_y
_atom_site_fract_z
Mg1 Mg 0.086 0.914 0.750
Mg2 Mg 0.285 0.715 0.250
Mg3 Mg 0.715 0.285 0.750
Mg4 Mg 0.914 0.086 0.250
Fe1 Fe 0.442 0.558 0.750
Fe2 Fe 0.558 0.442 0.250
# - final energy (eV/cell) = -22.45
# - SG = No. 63
# - V (Å³/cell) = 107

=====

# Mg5Fe, optimized geometry, DFT PBE
data_Mg5Fe
_chemical_formula_sum 'Mg5 Fe1'
_space_group_name_H-M_alt 'P 1'
_space_group_IT_number 1
_cell_length_a 5.590
_cell_length_b 5.590
_cell_length_c 5.049
_cell_angle_alpha 90.00
_cell_angle_beta 90.00
_cell_angle_gamma 120.00
loop_
_space_group_symop_operation_xyz
'x,y,z'
loop_
_atom_site_label
_atom_site_type_symbol
_atom_site_fract_x
_atom_site_fract_y
_atom_site_fract_z
Mg1 Mg 0.000 0.500 0.000
Mg2 Mg 0.333 0.667 0.500
Mg3 Mg 0.500 0.000 0.000
Mg4 Mg 0.500 0.500 0.000
Mg5 Mg 0.667 0.333 0.500
Fe1 Fe 0.000 0.000 0.500
# - energy above the most stable polymorph in this dataset (eV/atom) = 0.3999
# - final energy (eV/cell) = -13.25
# - SG = No. 191
# - V (Å³/cell) = 137

=====

# Mg5Fe4, optimized geometry, DFT PBE
data_Mg5Fe4
_chemical_formula_sum 'Mg10 Fe8'
_space_group_name_H-M_alt 'P 1'
_space_group_IT_number 1
_cell_length_a 7.926
_cell_length_b 7.926
_cell_length_c 5.458
_cell_angle_alpha 90.00
_cell_angle_beta 90.00
_cell_angle_gamma 120.00
loop_
_space_group_symop_operation_xyz
'x,y,z'
loop_
_atom_site_label
_atom_site_type_symbol
_atom_site_fract_x
_atom_site_fract_y
_atom_site_fract_z
Mg1 Mg 0.000 0.358 0.250
Mg2 Mg 0.000 0.642 0.750
Mg3 Mg 0.333 0.667 0.000
Mg4 Mg 0.333 0.667 0.500
Mg5 Mg 0.358 0.000 0.250
Mg6 Mg 0.358 0.358 0.750
Mg7 Mg 0.642 0.000 0.750
Mg8 Mg 0.642 0.642 0.250
Mg9 Mg 0.667 0.333 0.000
Mg10 Mg 0.667 0.333 0.500
Fe1 Fe 0.000 0.000 0.000
Fe2 Fe 0.000 0.000 0.500
Fe3 Fe 0.000 0.273 0.750
Fe4 Fe 0.000 0.727 0.250
Fe5 Fe 0.273 0.000 0.750
Fe6 Fe 0.273 0.273 0.250
Fe7 Fe 0.727 0.000 0.250
Fe8 Fe 0.727 0.727 0.750
# - energy above the most stable polymorph in this dataset (eV/atom) = 0.1096
# - final energy (eV/cell) = -77.77
# - SG = No. 193
# - V (Å³/cell) = 297

=====

Question: The highest final energy belongs to which entry?
Answer: Mg4Fe